DFT (PBE with a Hubbard U) results for a geometry-optimized V2Co3O8 structure.

Properties
M_tot	9.02	μB/f.u.
total DFT energy (no corrections)	-6.8914	eV per atom
crystal system	orthorhombic

a = 6.052 Å, b = 11.655 Å, c = 8.441 Å
α = 90.00°, β = 90.00°, γ = 90.00°
Space group Cmce (No. 64)
One atom of each set of equivalent atoms:
1 V 0.000 0.124 0.118 [8 per cell]
2 Co 0.000 0.000 0.500 [4 per cell]
3 Co 0.250 0.130 0.750 [8 per cell]
4 O 0.000 0.001 0.254 [8 per cell]
5 O 0.000 0.249 0.727 [8 per cell]
6 O 0.233 0.118 0.998 [16 per cell]